Material: NbZnRh3
Method: DFT, PBE
State: optimized geometry

Calculated values
The value obtained for the electronic total energy is -5.92 eV per atom. The value obtained for the magnetization is 0.000 μB per cell. The space-group type is Pm-3m. The volume is 87 Å³/cell. The calculation puts the energy of formation at 760.5 meV/atom.

a b c (Å): 4.439 4.439 4.439
angles (deg): 90.00 90.00 90.00
Sites, in units of the cell vectors:
Nb: 0.000 0.000 0.000
Zn: 0.500 0.500 0.500
Rh: 0.000 0.500 0.500
Rh: 0.500 0.000 0.500
Rh: 0.500 0.500 0.000